No. 1
This record from the Alexandria database describes a relaxed structure of ZnCdHg2. The functional is PBE-GGA.

Calculated values
E above lowest polymorph in eV per atom: 0.045
Formation enthalpy at 0 K in meV per atom: 108
D(E_F) in states/eV/atom: 0.2979

Structure (POSCAR):
```
ZnCdHg2
1.0
0.000 3.565 3.565
3.565 0.000 3.565
3.565 3.565 0.000
Zn Cd Hg
1 1 2
direct
0.000 0.000 0.000
0.500 0.500 0.500
0.250 0.250 0.250
0.750 0.750 0.750
```

No. 2
This record from the Alexandria database describes a relaxed structure of ZrZnCdHg2. The functional is PBE-GGA.

Calculated values
Formation enthalpy at 0 K in meV per atom: 428
D(E_F) in states/eV/atom: 0.7811

Structure (POSCAR):
```
ZrZnCdHg2
1.0
4.936 0.000 0.000
0.000 4.936 0.000
0.000 0.000 5.180
Zr Zn Cd Hg
1 1 1 2
direct
0.000 0.000 0.000
0.000 0.000 0.500
0.500 0.500 0.000
0.000 0.500 0.500
0.500 0.000 0.500
```

> Among the records above, which one has the highest D(E_F)?

ZrZnCdHg2